w:
First-principles (PBE) data for an optimized crystal structure of Y2TmZn2, as listed in Alexandria.

Computed properties:
Space-group type = P4/mbm (127)
Spin magnetization = 0.000 μB/atom
Density = 6.34 g cm⁻³

a b c (Å): 3.7520 8.1639 8.1639
angles (deg): 90.00 90.00 90.00
Atoms (fractional coordinates):
Y1 0.5000 0.1673 0.6673
Y2 0.5000 0.6673 0.8327
Y3 0.5000 0.8327 0.3327
Y4 0.5000 0.3327 0.1673
Tm1 0.0000 0.0000 0.0000
Tm2 0.0000 0.5000 0.5000
Zn1 0.0000 0.3701 0.8701
Zn2 0.0000 0.8701 0.6299
Zn3 0.0000 0.6299 0.1299
Zn4 0.0000 0.1299 0.3701

x:
First-principles (PBE) data for an optimized crystal structure of Y2TmZn2, as listed in Alexandria.

Computed properties:
Space-group type = P2_1/m (11)
Spin magnetization = 0.000 μB/atom
Density = 6.53 g cm⁻³

a b c (Å): 3.6073 5.1150 13.2907
angles (deg): 90.00 97.82 90.00
Atoms (fractional coordinates):
Y1 0.0463 0.7500 0.0924
Y2 0.9537 0.2500 0.9076
Y3 0.2318 0.7500 0.4643
Y4 0.7682 0.2500 0.5357
Tm1 0.8561 0.7500 0.7131
Tm2 0.1439 0.2500 0.2869
Zn1 0.6399 0.7500 0.2797
Zn2 0.3601 0.2500 0.7203
Zn3 0.4499 0.7500 0.8995
Zn4 0.5501 0.2500 0.1005

Preferred: x; penalty for the next structure: 0.027 eV/atom.